Sc2NbZnRh: optimized geometry, PBE.

Lattice parameters (Å, degrees): 4.9104 4.4983 4.9104 90.00 90.00 90.00
Closest atoms and distances in Å follow each position.
Element x y z (fractional)
Sc 0.0000 0.0000 0.5000  2 Zn 2.46
Sc 0.5000 0.0000 0.0000  2 Zn 2.46
Nb 0.5000 0.5000 0.5000  8 Sc 3.33, 4 Rh 3.47
Rh 0.0000 0.5000 0.0000  2 Zn 2.25
Zn 0.0000 0.0000 0.0000  2 Rh 2.25, 4 Sc 2.46

Results
The value obtained for the formation energy is 0.598 eV per atom. The value obtained for the calculated volume is 21.692 Å³ per atom. The offset from the most stable computed form is 0.000 eV per atom. Its symmetry is P4/mmm. The value obtained for the total energy is -5.67 eV/atom. The value obtained for the density of states at the Fermi level is 0.880 states/eV per atom.